Ti3AlSb | PBE-GGA | relaxed

abc: 4.6917 4.6917 4.6917
angles: 90.00 90.00 90.00
Closest atoms and distances in Å follow each position.
Element x y z (fractional)
Al  0.0000  0.0000  0.0000  6 Ti 2.35
Ti  0.0000  0.5000  0.0000  2 Al 2.35
Ti  0.0000  0.0000  0.5000  2 Al 2.35
Ti  0.5000  0.0000  0.0000  2 Al 2.35
Sb  0.5000  0.5000  0.5000  12 Ti 3.32

Output
ΔE_f (raw) (eV/atom): 0.440
M_tot (μB/cell): 0.0
Distance to the lowest polymorph of the same formula (kcal/mol of atoms): 12.53
Symmetry: Pm-3m
N(E_F) (states/eV per atom): 0.883